# KFe2As

A geometry-optimized KFe2As structure (GGA-PBE, Alexandria via LeMat-Bulk).

Properties
energy of formation from the pure elements	0.55	eV per atom
theoretical density	4.55	g cm⁻³
V	20.58	Å³/atom
DOS at the Fermi energy	0.95	states/eV/atom
electronic total energy	-5.117	eV per atom

a b c (Å): 3.2836 3.2836 7.6336
angles (deg): 90.00 90.00 90.00
Closest atoms and distances in Å follow each position.
Space group P4/mmm (No. 123)
Asymmetric unit:
K  0.0000  0.0000  0.0000 (multiplicity 1)  4 K 3.28, 8 Fe 3.56
Fe  0.5000  0.5000  0.3534 (multiplicity 2)  1 Fe 2.24
As  0.0000  0.0000  0.5000 (multiplicity 1)  8 Fe 2.58